No. 1
Here is a geometry-optimized Cs2KMgSc structure from Alexandria via LeMat-Bulk. Energies are from GGA-PBE.

abc: 7.3618 6.9385 7.3618
angles: 90.00 90.00 90.00
Each line ends with the local moment (μB).
Positions (direct):
K  0.0000  0.5000  0.0000  0.00
Mg  0.0000  0.0000  0.0000  0.01
Cs  0.5000  0.0000  0.0000  0.01
Cs  0.0000  0.0000  0.5000  0.01
Sc  0.5000  0.5000  0.5000  0.98

Calculated density in g/cm3: 1.65
Raw total energy in eV/atom: -1.333
Space group: P4/mmm
Total magnetic moment in μB/cell: 1.746
Energy of formation from the pure elements in eV/atom: 0.813


No. 2
Here is a geometry-optimized CsKMgSn structure from Alexandria via LeMat-Bulk. Energies are from GGA-PBE.

abc: 5.8739 5.8739 5.8739
angles: 60.00 60.00 60.00
Positions (direct):
Sn  0.2500  0.2500  0.2500
Cs  0.7500  0.7500  0.7500
K  0.5000  0.5000  0.5000
Mg  0.0000  0.0000  0.0000

Calculated density in g/cm3: 3.65
Raw total energy in eV/atom: -1.887
Space group: F-43m
Total magnetic moment in μB/cell: 0.000
Energy of formation from the pure elements in eV/atom: 0.000


No. 3
Here is a geometry-optimized CsK2MgSn structure from Alexandria via LeMat-Bulk. Energies are from GGA-PBE.

abc: 6.9973 6.9973 5.6085
angles: 90.00 90.00 90.00
Positions (direct):
Cs  0.5000  0.5000  0.5000
K  0.5000  0.0000  0.0000
K  0.0000  0.5000  0.0000
Mg  0.0000  0.0000  0.5000
Sn  0.0000  0.0000  0.0000

Calculated density in g/cm3: 2.14
Raw total energy in eV/atom: -1.725
Space group: P4/mmm
Total magnetic moment in μB/cell: 0.097
Energy of formation from the pure elements in eV/atom: 0.005


No. 4
Here is a geometry-optimized Cs2KMgSn structure from Alexandria via LeMat-Bulk. Energies are from GGA-PBE.

abc: 7.8489 7.8489 5.3963
angles: 90.00 90.00 90.00
Positions (direct):
Cs  0.5000  0.0000  0.0000
Sn  0.0000  0.0000  0.0000
Cs  0.0000  0.5000  0.0000
Mg  0.0000  0.0000  0.5000
K  0.5000  0.5000  0.5000

Calculated density in g/cm3: 2.24
Raw total energy in eV/atom: -1.604
Space group: P4/mmm
Total magnetic moment in μB/cell: 0.000
Energy of formation from the pure elements in eV/atom: 0.076


No. 5
Here is a geometry-optimized Cs2KMn structure from Alexandria via LeMat-Bulk. Energies are from GGA-PBE.

abc: 6.3124 6.3124 6.3124
angles: 60.00 60.00 60.00
Each line ends with the local moment (μB).
Positions (direct):
K  0.0000  0.0000  0.0000  -0.02
Mn  0.5000  0.5000  0.5000  4.09
Cs  0.7500  0.7500  0.7500  -0.02
Cs  0.2500  0.2500  0.2500  -0.02

Calculated density in g/cm3: 3.36
Raw total energy in eV/atom: -2.182
Space group: Fm-3m
Total magnetic moment in μB/cell: 4.000
Energy of formation from the pure elements in eV/atom: 0.812


- Look up the total magnetic moment of the fifth one.
  4.000 μB/cell